A plane-wave DFT calculation with PBE was carried out for an optimized crystal structure of LiCu2Pd.

Geometry as POSCAR:
```
LiCu2Pd
1.0
3.6208 0.0000 0.0000
0.0000 3.6208 0.0000
0.0000 0.0000 3.8689
Pd Cu Li
1 2 1
Direct
0.5000 0.5000 0.5000
0.0000 0.5000 0.0000
0.5000 0.0000 0.0000
0.0000 0.0000 0.5000
```

Output
Its space group is P4/mmm. The total energy comes out at -15.421 eV/cell.